No. 1
# CaP2Au | the Alexandria database | PBE | relaxed
# - Crystal system: cubic
# - Total magnetization: 0.0000 μB/atom
# - E above lowest polymorph: 12.20 kcal/mol of atoms
# - Formation energy from the elements: -5 meV per atom
# - Total DFT energy (no corrections): -4.03 eV per atom
# - DOS at the Fermi energy: 7.50 states/eV per cell
data_CaP2Au
_chemical_formula_sum 'Ca4 P8 Au4'
_space_group_name_H-M_alt 'F -4 3 m'
_space_group_IT_number 216
_space_group_name_Hall 'F -4 2 3'
_cell_length_a 6.764
_cell_length_b 6.764
_cell_length_c 6.764
_cell_angle_alpha 90.00
_cell_angle_beta 90.00
_cell_angle_gamma 90.00
loop_
_atom_site_label
_atom_site_type_symbol
_atom_site_fract_x
_atom_site_fract_y
_atom_site_fract_z
Ca1 Ca 0.000 0.000 0.000
P1 P 0.000 0.000 0.500
P2 P 0.250 0.250 0.750
Au1 Au 0.250 0.250 0.250

---

No. 2
# CaP3Au | the Alexandria database | PBE | relaxed
# - Crystal system: cubic
# - Total magnetization: 0.0000 μB/atom
# - E above lowest polymorph: 21.42 kcal/mol of atoms
# - Formation energy from the elements: 1316 meV per atom
# - Total DFT energy (no corrections): -2.99 eV per atom
# - DOS at the Fermi energy: 2.46 states/eV per cell
data_CaP3Au
_chemical_formula_sum 'Ca1 P3 Au1'
_space_group_name_H-M_alt 'P m -3 m'
_space_group_IT_number 221
_space_group_name_Hall '-P 4 2 3'
_cell_length_a 5.146
_cell_length_b 5.146
_cell_length_c 5.146
_cell_angle_alpha 90.00
_cell_angle_beta 90.00
_cell_angle_gamma 90.00
loop_
_atom_site_label
_atom_site_type_symbol
_atom_site_fract_x
_atom_site_fract_y
_atom_site_fract_z
Ca1 Ca 0.000 0.000 0.000
P1 P 0.000 0.000 0.500
Au1 Au 0.500 0.500 0.500

---

Q: Look up the E above lowest polymorph of the second one.
A: 21.42 kcal/mol of atoms